[1]
This record from the Alexandria database describes AlGaAu5 after structural relaxation. The functional is GGA-PBE.

Calculated values
magnetization = 0.000 μB/atom
DOS(E_F) = 2.24 states/eV/f.u.
excess energy over the best structure of this formula in the dataset = 0 meV/atom
formation energy from the elements = -1.11 eV/f.u.
total DFT energy (no corrections) = -3.47 eV/atom
mass density = 13.38 g/cm3
space-group type = No. 15

```
14
Lattice="-6.739 0.867 -3.146 -2.422 -3.289 6.275 -4.036 3.362 3.333" Properties=species:S:1:pos:R:3 pbc="T T T"
Au -6.172 2.244 2.099
Au -4.050 0.454 0.331
Al -7.579 1.283 4.127
Ga -2.018 1.681 1.666
Al -5.618 -0.343 2.335
Au -6.889 0.880 -0.437
Ga 0.000 0.000 0.000
Au -7.025 -1.304 4.363
Au -8.255 -0.112 2.008
Au -9.147 0.485 6.131
Au -3.032 -0.517 2.880
Au -4.942 1.052 4.454
Au -6.308 0.060 6.899
Au -10.165 1.457 3.581
```

***

[2]
This record from the Alexandria database describes Ce5Ga2Co4 after structural relaxation. The functional is GGA-PBE.

Calculated values
magnetization = 0.000 μB/atom
DOS(E_F) = 12.98 states/eV/f.u.
formation energy from the elements = -2.42 eV/f.u.
total DFT energy (no corrections) = -6.05 eV/atom
mass density = 7.99 g/cm3
space-group type = No. 12

```
11
Lattice="6.788 0.000 0.000 3.394 6.034 -1.439 3.394 -0.167 5.499" Properties=species:S:1:pos:R:3 pbc="T T T"
Ce 3.394 2.933 2.030
Ce 5.073 4.929 -0.002
Ga 6.788 3.991 2.822
Co 10.182 2.803 4.470
Ce 5.073 0.938 4.063
Co 3.394 0.672 1.089
Ce 8.502 0.938 4.063
Ga 6.788 1.876 1.239
Ce 8.502 4.929 -0.002
Co 10.182 5.194 2.972
Co 3.394 3.064 -0.409
```

***

Which value of DOS(E_F) does entry 1 give?
2.24 states/eV/f.u.

***

Which of these has the lowest total DFT energy (no corrections)?
Ce5Ga2Co4

***

What did the first record say?
This record from the Alexandria database describes AlGaAu5 after structural relaxation. The functional is GGA-PBE.

Calculated values
magnetization = 0.000 μB/atom
DOS(E_F) = 2.24 states/eV/f.u.
excess energy over the best structure of this formula in the dataset = 0 meV/atom
formation energy from the elements = -1.11 eV/f.u.
total DFT energy (no corrections) = -3.47 eV/atom
mass density = 13.38 g/cm3
space-group type = No. 15

```
14
Lattice="-6.739 0.867 -3.146 -2.422 -3.289 6.275 -4.036 3.362 3.333" Properties=species:S:1:pos:R:3 pbc="T T T"
Au -6.172 2.244 2.099
Au -4.050 0.454 0.331
Al -7.579 1.283 4.127
Ga -2.018 1.681 1.666
Al -5.618 -0.343 2.335
Au -6.889 0.880 -0.437
Ga 0.000 0.000 0.000
Au -7.025 -1.304 4.363
Au -8.255 -0.112 2.008
Au -9.147 0.485 6.131
Au -3.032 -0.517 2.880
Au -4.942 1.052 4.454
Au -6.308 0.060 6.899
Au -10.165 1.457 3.581
```

***

What is the DOS(E_F) in the second record?
12.98 states/eV/f.u.